#w
16
Lattice="-2.020 6.062 -1.709 1.390 -1.595 -7.300 -9.664 -3.522 -1.071" Properties=species:S:1:pos:R:3 comment="Ca2NdAu (PBE, optimized geometry)" density_g_cm3=5.4 magnetic_moment_mub_per_cell=0.0 space_group=Pnma crystal_system=orthorhombic pbc="T T T"
Ca 0.011 -0.294 -5.314
Ca -4.657 0.192 -2.353
Ca -6.669 2.564 -4.363
Ca -9.271 -0.573 -8.130
Ca -10.304 1.239 -4.766
Ca -5.636 0.752 -7.727
Ca -3.624 -1.619 -5.717
Ca -1.022 1.517 -1.950
Nd -2.965 2.140 -5.244
Nd -4.112 4.291 -1.976
Nd -7.328 -1.195 -4.836
Nd -6.182 -3.347 -8.104
Au -2.000 -1.136 -3.181
Au -2.075 0.379 -7.483
Au -8.293 2.080 -6.899
Au -8.218 0.565 -2.597

#x
4
Lattice="3.858 0.000 0.000 1.929 3.341 0.000 1.929 1.114 10.328" Properties=species:S:1:pos:R:3 comment="Ca2NdAu (PBE, optimized geometry)" density_g_cm3=5.3 magnetic_moment_mub_per_cell=0.2 space_group=R3m crystal_system=trigonal pbc="T T T"
Ca 1.929 1.114 8.330
Ca 1.929 1.114 2.005
Nd 3.858 2.227 5.149
Au 3.858 2.227 0.008

Of them, #w has the highest stability.

#w
7
Lattice="4.850 0.000 1.515 2.188 4.328 1.515 -0.106 -0.065 8.857" Properties=species:S:1:pos:R:3 comment="CaNd2Au4 (PBE, optimized geometry)" density_g_cm3=9.9 magnetic_moment_mub_per_cell=0.0 space_group=R-3m crystal_system=trigonal pbc="T T T"
Au 6.150 3.782 5.875
Au 0.783 0.482 6.013
Au 4.424 2.720 2.880
Au 2.509 1.543 9.008
Ca 0.000 0.000 0.000
Nd 5.256 3.232 8.736
Nd 1.677 1.031 3.152

#x
7
Lattice="-2.144 4.410 1.851 -4.763 -1.786 -1.262 2.826 -4.511 6.601" Properties=species:S:1:pos:R:3 comment="CaNd2Au4 (PBE, optimized geometry)" density_g_cm3=8.8 magnetic_moment_mub_per_cell=0.0 space_group=I4/mmm crystal_system=tetragonal pbc="T T T"
Ca 0.000 0.000 0.000
Nd -3.609 0.519 2.004
Nd -0.472 -2.406 5.186
Au -3.849 -0.702 4.638
Au -0.232 -1.184 2.552
Au -2.382 -0.893 -0.631
Au -1.072 2.205 0.925

Of them, #w has the highest stability.

#w
10
Lattice="7.531 0.000 0.000 0.000 7.531 0.000 0.000 0.000 3.021" Properties=species:S:1:pos:R:3 comment="CaNi2Au2 (PBE, optimized geometry)" density_g_cm3=10.7 magnetic_moment_mub_per_cell=0.0 space_group=P4/mbm crystal_system=tetragonal pbc="T T T"
Ni 1.181 4.946 1.510
Ni 4.946 6.350 1.510
Ni 6.350 2.585 1.510
Ni 2.585 1.181 1.510
Ca 0.000 0.000 0.000
Ca 3.765 3.765 0.000
Au 2.721 6.487 0.000
Au 6.487 4.810 0.000
Au 4.810 1.044 0.000
Au 1.044 2.721 0.000

#x
5
Lattice="4.252 0.000 0.000 0.000 4.252 0.000 2.126 2.126 5.138" Properties=species:S:1:pos:R:3 comment="CaNi2Au2 (PBE, optimized geometry)" density_g_cm3=9.9 magnetic_moment_mub_per_cell=0.0 space_group=I4/mmm crystal_system=tetragonal pbc="T T T"
Ni 2.126 2.126 1.108
Ni 4.252 4.252 4.030
Ca 0.000 0.000 0.000
Au 4.252 2.126 2.569
Au 2.126 4.252 2.569

#y
5
Lattice="-2.042 0.388 3.176 -2.877 -1.871 -1.621 -0.116 -6.232 2.956" Properties=species:S:1:pos:R:3 comment="CaNi2Au2 (PBE, optimized geometry)" density_g_cm3=10.0 magnetic_moment_mub_per_cell=0.0 space_group=I4/mmm crystal_system=tetragonal pbc="T T T"
Ni -2.309 -3.292 3.455
Ni -2.727 -4.422 1.056
Ca 0.000 0.000 0.000
Au -1.947 -1.942 1.254
Au -3.088 -5.772 3.257

Of them, #y has the highest stability.